DFT (GGA-PBE) results for a relaxed structure of Nd4Se2S3.

Density of states at the Fermi level (states/eV/f.u.): 3.2
Uncorrected formation energy (kJ per mole of atoms): -182

Lattice parameters (Å, degrees): 8.5400 8.5400 7.5490 90.00 90.00 124.88
Sites, in units of the cell vectors:
Nd 0.2004 0.7996 0.9585
Nd 0.2254 0.2746 0.7500
Nd 0.2746 0.2254 0.2500
Nd 0.2996 0.7004 0.4585
Nd 0.7004 0.2996 0.5415
Nd 0.7254 0.7746 0.7500
Nd 0.7746 0.7254 0.2500
Nd 0.7996 0.2004 0.0415
Se 0.1047 0.8953 0.5845
Se 0.3953 0.6047 0.0845
Se 0.6047 0.3953 0.9155
Se 0.8953 0.1047 0.4155
S 0.0000 0.0000 0.0000
S 0.0408 0.4592 0.7500
S 0.4592 0.0408 0.2500
S 0.5000 0.5000 0.5000
S 0.5408 0.9592 0.7500
S 0.9592 0.5408 0.2500

***

DFT (GGA-PBE) results for a relaxed structure of Ac2BiS5.

Density of states at the Fermi level (states/eV/f.u.): 4.4
Uncorrected formation energy (kJ per mole of atoms): -124

Lattice parameters (Å, degrees): 7.9027 7.9027 13.7503 90.00 90.00 138.82
Sites, in units of the cell vectors:
Ac 0.1500 0.8500 0.5704
Ac 0.1500 0.8500 0.9296
Ac 0.8500 0.1500 0.0704
Ac 0.8500 0.1500 0.4296
Bi 0.1674 0.8326 0.2500
Bi 0.8326 0.1674 0.7500
S 0.0440 0.9560 0.1107
S 0.0440 0.9560 0.3893
S 0.2762 0.7238 0.7500
S 0.2894 0.7106 0.0892
S 0.2894 0.7106 0.4108
S 0.7106 0.2894 0.5892
S 0.7106 0.2894 0.9108
S 0.7238 0.2762 0.2500
S 0.9560 0.0440 0.6107
S 0.9560 0.0440 0.8893